Below is a geometry-optimized Ba2MoCl structure, with properties calculated at the PBE-GGA level.

uncorrected formation energy: -11 meV/atom
distance to the lowest polymorph of the same formula: 1.096 kcal/mol of atoms

Unit cell a=6.4832 b=6.4832 c=5.5321 alpha=89.96 beta=89.96 gamma=33.81
Last column: nearest neighbours and their distance in Å.
Element x y z (fractional)
Ba (0.7458, 0.7458, 0.6245)  3 Cl 3.19-3.56, 4 Mo 3.35
Ba (0.0062, 0.0062, 0.1254)  1 Mo 3.14, 4 Cl 3.35-3.36
Cl (0.4888, 0.4888, 0.6256)  7 Ba 3.19-3.56
Mo (0.2592, 0.2592, 0.1244)  5 Ba 3.14-3.35